Entry 1:
Here is Pr2TmHg after structural relaxation from the Alexandria database. Energies are from GGA-PBE.

a = 7.8432 Å, b = 7.8432 Å, c = 7.8432 Å
α = 90.00°, β = 90.00°, γ = 90.00°
Closest atoms and distances in Å follow each position.
Space group Fm-3m (No. 225)
Asymmetric unit:
Pr (0.2500, 0.2500, 0.2500) (multiplicity 8)  4 Hg 3.40, 4 Tm 3.40
Tm (0.0000, 0.0000, 0.0000) (multiplicity 4)  8 Pr 3.40
Hg (0.0000, 0.0000, 0.5000) (multiplicity 4)  8 Pr 3.40

Total energy ... -3.67 eV/atom
Total magnetic moment ... 0.0 μB/f.u.
Energy above the lowest structure with this stoichiometry ... 141 meV per atom
ΔE_f ... -0.351 eV per formula unit

***

Entry 2:
Here is Pr2TmHg after structural relaxation from the Alexandria database. Energies are from GGA-PBE.

a = 5.2446 Å, b = 5.2446 Å, c = 8.9320 Å
α = 90.00°, β = 90.00°, γ = 90.00°
Closest atoms and distances in Å follow each position.
Space group P4/nmm (No. 129, origin choice 2)
Asymmetric unit:
Pr (0.2500, 0.2500, 0.2202) (multiplicity 2)  4 Hg 3.28, 4 Pr 3.62
Pr (0.2500, 0.7500, 0.5000) (multiplicity 2)  8 Pr 3.62-3.71, 4 Tm 3.67
Tm (0.2500, 0.2500, 0.7867) (multiplicity 2)  4 Hg 3.24
Hg (0.2500, 0.7500, 0.0000) (multiplicity 2)  4 Tm 3.24, 4 Pr 3.28

Total energy ... -3.81 eV/atom
Total magnetic moment ... 0.0 μB/f.u.
Energy above the lowest structure with this stoichiometry ... 0 meV per atom
ΔE_f ... -0.914 eV per formula unit

***

Entry 3:
Here is Pr2TmHg4 after structural relaxation from the Alexandria database. Energies are from GGA-PBE.

a = 5.5890 Å, b = 5.5890 Å, c = 15.7325 Å
α = 90.00°, β = 90.00°, γ = 90.00°
Closest atoms and distances in Å follow each position.
Space group I4/mmm (No. 139)
Asymmetric unit:
Pr (0.0000, 0.0000, 0.1097) (multiplicity 4)  5 Hg 3.16-3.28, 1 Pr 3.45
Tm (0.0000, 0.0000, 0.5000) (multiplicity 2)  6 Hg 2.79-2.98
Hg (0.0000, 0.0000, 0.3108) (multiplicity 4)  1 Tm 2.98, 1 Pr 3.16
Hg (0.0000, 0.5000, 0.0000) (multiplicity 4)  2 Tm 2.79

Total energy ... -2.24 eV/atom
Total magnetic moment ... 0.0 μB/f.u.
Energy above the lowest structure with this stoichiometry ... 280 meV per atom
ΔE_f ... -0.461 eV per formula unit

***

Entry 4:
Here is PrTm2Hg6 after structural relaxation from the Alexandria database. Energies are from GGA-PBE.

a = 4.5069 Å, b = 4.5069 Å, c = 25.8658 Å
α = 90.00°, β = 90.00°, γ = 90.00°
Closest atoms and distances in Å follow each position.
Space group I4/mmm (No. 139)
Asymmetric unit:
Pr (0.0000, 0.0000, 0.0000) (multiplicity 2)  8 Hg 3.23
Tm (0.0000, 0.0000, 0.3304) (multiplicity 4)  8 Hg 3.06-3.07
Hg (0.0000, 0.5000, 0.0894) (multiplicity 8)  2 Tm 3.06, 4 Hg 3.19, 2 Pr 3.23
Hg (0.0000, 0.5000, 0.2500) (multiplicity 4)  4 Tm 3.07, 4 Hg 3.19

Total energy ... -1.88 eV/atom
Total magnetic moment ... 0.0 μB/f.u.
Energy above the lowest structure with this stoichiometry ... 212 meV per atom
ΔE_f ... -1.429 eV per formula unit

***

Entry 5:
Here is Pr5TmHg4 after structural relaxation from the Alexandria database. Energies are from GGA-PBE.

a = 3.8339 Å, b = 3.8339 Å, c = 20.3165 Å
α = 90.00°, β = 90.00°, γ = 90.00°
Closest atoms and distances in Å follow each position.
Space group P4/mmm (No. 123)
Asymmetric unit:
Pr (0.0000, 0.0000, 0.0000) (multiplicity 1)  8 Hg 3.34
Pr (0.0000, 0.0000, 0.1915) (multiplicity 2)  8 Hg 3.34-3.38
Pr (0.0000, 0.0000, 0.3840) (multiplicity 2)  4 Hg 3.31, 4 Tm 3.59
Tm (0.5000, 0.5000, 0.5000) (multiplicity 1)  8 Pr 3.59, 4 Tm 3.83
Hg (0.5000, 0.5000, 0.0959) (multiplicity 2)  8 Pr 3.34
Hg (0.5000, 0.5000, 0.2907) (multiplicity 2)  8 Pr 3.31-3.38

Total energy ... -3.32 eV/atom
Total magnetic moment ... 1.5 μB/f.u.
ΔE_f ... -3.583 eV per formula unit

***

Entry 6:
Here is PrTm2Hg after structural relaxation from the Alexandria database. Energies are from GGA-PBE.

a = 3.6124 Å, b = 3.6124 Å, c = 31.6285 Å
α = 90.00°, β = 90.00°, γ = 120.00°
Closest atoms and distances in Å follow each position.
Space group R-3m (No. 166, hexagonal axes)
Asymmetric unit:
Pr (0.0000, 0.0000, 0.0000) (multiplicity 3)  6 Tm 3.59, 6 Pr 3.61
Tm (0.0000, 0.0000, 0.2409) (multiplicity 6)  3 Hg 3.14
Hg (0.0000, 0.0000, 0.5000) (multiplicity 3)  6 Tm 3.14

Total energy ... -3.68 eV/atom
Total magnetic moment ... 0.0 μB/f.u.
Energy above the lowest structure with this stoichiometry ... 65 meV per atom
ΔE_f ... -0.689 eV per formula unit

***

Entry 7:
Here is Pr3Tm3Hg2 after structural relaxation from the Alexandria database. Energies are from GGA-PBE.

a = 5.1742 Å, b = 11.8011 Å, c = 16.1173 Å
α = 90.00°, β = 90.00°, γ = 90.00°
Closest atoms and distances in Å follow each position.
Space group Cmcm (No. 63)
Asymmetric unit:
Pr (0.0000, 0.0402, 0.1074) (multiplicity 8)  1 Hg 3.26, 4 Tm 3.48-3.56, 1 Pr 3.59
Pr (0.0000, 0.2870, 0.2500) (multiplicity 4)  4 Hg 3.31, 5 Tm 3.39-3.61
Tm (0.0000, 0.3580, 0.0360) (multiplicity 8)  3 Hg 2.94-3.14
Tm (0.0000, 0.4259, 0.7500) (multiplicity 4)  2 Hg 3.04, 1 Pr 3.39
Hg (0.0000, 0.2356, 0.6226) (multiplicity 8)  4 Tm 2.94-3.14, 1 Pr 3.26

Total energy ... -3.73 eV/atom
Total magnetic moment ... 0.0 μB/f.u.
ΔE_f ... -1.497 eV per formula unit

***

Entry 8:
Here is PrTm2Hg9 after structural relaxation from the Alexandria database. Energies are from GGA-PBE.

a = 4.5334 Å, b = 4.5334 Å, c = 14.4720 Å
α = 90.00°, β = 90.00°, γ = 90.00°
Closest atoms and distances in Å follow each position.
Space group P4/mmm (No. 123)
Asymmetric unit:
Pr (0.0000, 0.0000, 0.0000) (multiplicity 1)  12 Hg 3.21-3.38
Tm (0.0000, 0.0000, 0.3372) (multiplicity 2)  12 Hg 3.21-3.28
Hg (0.0000, 0.5000, 0.1737) (multiplicity 4)  8 Hg 3.21-3.38, 2 Tm 3.28, 2 Pr 3.38
Hg (0.0000, 0.5000, 0.5000) (multiplicity 2)  8 Hg 3.21-3.27, 4 Tm 3.27
Hg (0.5000, 0.5000, 0.0000) (multiplicity 1)  4 Pr 3.21, 8 Hg 3.38
Hg (0.5000, 0.5000, 0.3367) (multiplicity 2)  4 Tm 3.21, 8 Hg 3.27

Total energy ... -1.67 eV/atom
Total magnetic moment ... 0.0 μB/f.u.
ΔE_f ... -3.608 eV per formula unit

***

What did the fifth record say?
Here is Pr5TmHg4 after structural relaxation from the Alexandria database. Energies are from GGA-PBE.

a = 3.8339 Å, b = 3.8339 Å, c = 20.3165 Å
α = 90.00°, β = 90.00°, γ = 90.00°
Closest atoms and distances in Å follow each position.
Space group P4/mmm (No. 123)
Asymmetric unit:
Pr (0.0000, 0.0000, 0.0000) (multiplicity 1)  8 Hg 3.34
Pr (0.0000, 0.0000, 0.1915) (multiplicity 2)  8 Hg 3.34-3.38
Pr (0.0000, 0.0000, 0.3840) (multiplicity 2)  4 Hg 3.31, 4 Tm 3.59
Tm (0.5000, 0.5000, 0.5000) (multiplicity 1)  8 Pr 3.59, 4 Tm 3.83
Hg (0.5000, 0.5000, 0.0959) (multiplicity 2)  8 Pr 3.34
Hg (0.5000, 0.5000, 0.2907) (multiplicity 2)  8 Pr 3.31-3.38

Total energy ... -3.32 eV/atom
Total magnetic moment ... 1.5 μB/f.u.
ΔE_f ... -3.583 eV per formula unit

***

Look up the ΔE_f of the second one.
-0.914 eV per formula unit

***

Number 3 is which compound?
Pr2TmHg4

***

Which of these has the highest total energy?
PrTm2Hg9